(1)
Below is crystalline Be2CuAs at its relaxed geometry, with properties calculated at the PBE level.

Output
Space-group type: F-43m
Raw total energy (eV for the cell shown): -13.90

```
Be2CuAs
1.0
0.000 2.929 2.929
2.929 0.000 2.929
2.929 2.929 0.000
As Be Cu
1 2 1
direct
0.500 0.500 0.500
0.000 0.000 0.000
0.750 0.750 0.750
0.250 0.250 0.250
```

***

(2)
Below is crystalline ZnGaPt2 at its relaxed geometry, with properties calculated at the PBE level.

Output
Space-group type: F-43m
Raw total energy (eV for the cell shown): -17.58

```
ZnGaPt2
1.0
0.000 3.126 3.126
3.126 0.000 3.126
3.126 3.126 0.000
Ga Pt Zn
1 2 1
direct
0.500 0.500 0.500
0.000 0.000 0.000
0.750 0.750 0.750
0.250 0.250 0.250
```

***

(3)
Below is crystalline InReP at its relaxed geometry, with properties calculated at the PBE level.

Output
Space-group type: P-6m2
Raw total energy (eV for the cell shown): -59.61

```
InReP
1.0
-2.133 -3.287 0.409
1.985 1.455 3.076
-9.972 6.867 3.186
In P Re
3 3 3
direct
0.000 0.000 0.172
0.000 0.000 0.500
0.000 0.000 0.828
0.667 0.333 0.000
0.333 0.667 0.332
0.333 0.667 0.668
0.333 0.667 0.000
0.667 0.333 0.359
0.667 0.333 0.641
```

***

(4)
Below is crystalline BeGaNiW at its relaxed geometry, with properties calculated at the PBE level.

Output
Space-group type: F-43m
Raw total energy (eV for the cell shown): -24.31

```
BeGaNiW
1.0
0.000 2.928 2.928
2.928 0.000 2.928
2.928 2.928 0.000
Be Ga Ni W
1 1 1 1
direct
0.250 0.250 0.250
0.000 0.000 0.000
0.750 0.750 0.750
0.500 0.500 0.500
```

***

(5)
Below is crystalline BeFeAsPd at its relaxed geometry, with properties calculated at the PBE level.

Output
Space-group type: F-43m
Raw total energy (eV for the cell shown): -22.10

```
BeFeAsPd
1.0
0.000 2.929 2.929
2.929 0.000 2.929
2.929 2.929 0.000
As Be Fe Pd
1 1 1 1
direct
0.000 0.000 0.000
0.500 0.500 0.500
0.750 0.750 0.750
0.250 0.250 0.250
```

***

(6)
Below is crystalline ZrCoSnAu at its relaxed geometry, with properties calculated at the PBE level.

Output
Space-group type: F-43m
Raw total energy (eV for the cell shown): -23.45

```
ZrCoSnAu
1.0
-1.714 0.539 4.315
0.113 4.198 2.052
-3.964 2.387 0.658
Au Co Sn Zr
1 1 1 1
direct
0.500 0.500 0.500
0.750 0.750 0.750
0.000 0.000 0.000
0.250 0.250 0.250
```

***

(7)
Below is crystalline Tm2BrNCl at its relaxed geometry, with properties calculated at the PBE level.

Output
Space-group type: P3m1
Raw total energy (eV for the cell shown): -30.08

```
Tm2BrNCl
1.0
3.564 0.000 0.000
-1.782 3.087 0.000
0.000 0.000 9.969
Br Cl N Tm
1 1 1 2
direct
0.000 0.000 0.317
0.667 0.333 0.695
0.333 0.667 0.995
0.667 0.333 0.123
0.000 0.000 0.870
```

***

(8)
Below is crystalline RbCoPb at its relaxed geometry, with properties calculated at the PBE level.

Output
Space-group type: F-43m
Raw total energy (eV for the cell shown): -7.04

```
RbCoPb
1.0
0.962 -3.541 4.252
-2.272 0.982 5.042
-4.135 -3.289 1.906
Co Pb Rb
1 1 1
direct
0.250 0.250 0.250
0.750 0.750 0.750
0.000 0.000 0.000
```

***

(9)
Below is crystalline Sc2ZnAg at its relaxed geometry, with properties calculated at the PBE level.

Output
Energy of formation from the pure elements (eV/atom): -0.17
Space-group type: Ama2

```
Sc2ZnAg
1.0
4.929 0.000 0.000
0.000 5.431 2.950
0.000 -5.431 2.950
Ag Sc Zn
2 4 2
direct
0.750 0.840 0.671
0.250 0.671 0.840
0.750 0.819 0.147
0.750 0.358 0.197
0.250 0.197 0.358
0.250 0.147 0.819
0.250 0.660 0.309
0.750 0.309 0.660
```

***

(10)
Below is crystalline NaTcO3 at its relaxed geometry, with properties calculated at the PBE level.

Output
Space-group type: P-1
Raw total energy (eV for the cell shown): -68.25

```
NaTcO3
1.0
-0.081 -2.259 4.471
-0.730 -4.527 -2.564
5.514 1.953 -0.161
Na O Tc
2 6 2
direct
0.763 0.186 0.329
0.237 0.814 0.671
0.464 0.759 0.065
0.998 0.771 0.244
0.253 0.367 0.325
0.747 0.633 0.675
0.002 0.229 0.756
0.536 0.241 0.935
0.231 0.467 0.068
0.769 0.533 0.932
```

***

(11)
Below is crystalline LiLuBeTe3 at its relaxed geometry, with properties calculated at the PBE level.

Output
Space-group type: Cmcm
Raw total energy (eV for the cell shown): -49.76

```
LiLuBeTe3
1.0
2.049 -7.239 0.000
2.049 7.239 0.000
0.000 0.000 11.250
Be Li Lu Te
2 2 2 6
direct
0.027 0.973 0.250
0.973 0.027 0.750
0.680 0.320 0.250
0.320 0.680 0.750
0.500 0.500 0.000
0.500 0.500 0.500
0.138 0.862 0.078
0.421 0.579 0.250
0.138 0.862 0.422
0.862 0.138 0.578
0.579 0.421 0.750
0.862 0.138 0.922
```

***

(12)
Below is crystalline TbDy2CuSn3Ir2 at its relaxed geometry, with properties calculated at the PBE level.

Output
Space-group type: Amm2
Raw total energy (eV for the cell shown): -53.83

```
TbDy2CuSn3Ir2
1.0
3.889 0.000 0.000
0.000 6.534 3.768
0.000 -6.534 3.768
Cu Dy Ir Sn Tb
1 2 2 3 1
direct
0.000 0.000 0.000
0.000 0.406 0.000
0.000 0.000 0.406
0.500 0.667 0.333
0.500 0.333 0.667
0.500 0.740 0.000
0.500 0.260 0.260
0.500 0.000 0.740
0.000 0.594 0.594
```

***

(13)
Below is crystalline MgCuGeAu at its relaxed geometry, with properties calculated at the PBE level.

Output
Space-group type: F-43m
Raw total energy (eV for the cell shown): -13.61

```
MgCuGeAu
1.0
0.000 3.213 3.213
3.213 0.000 3.213
3.213 3.213 0.000
Au Cu Ge Mg
1 1 1 1
direct
0.250 0.250 0.250
0.750 0.750 0.750
0.000 0.000 0.000
0.500 0.500 0.500
```

***

(14)
Below is crystalline ScAg2 at its relaxed geometry, with properties calculated at the PBE level.

Output
Energy of formation from the pure elements (eV/atom): -0.31
Space-group type: I4/mmm

```
ScAg2
1.0
-1.776 1.776 4.466
1.776 -1.776 4.466
1.776 1.776 -4.466
Ag Sc
2 1
direct
0.334 0.334 0.000
0.666 0.666 0.000
0.000 0.000 0.000
```

***

(15)
Below is crystalline HfThHg at its relaxed geometry, with properties calculated at the PBE level.

Output
Energy of formation from the pure elements (eV/atom): 0.42
Space-group type: F-43m

```
HfThHg
1.0
0.853 -4.753 -1.278
-3.069 -2.319 -3.187
1.561 -1.103 -4.615
Hf Hg Th
1 1 1
direct
0.250 0.250 0.250
0.000 0.000 0.000
0.750 0.750 0.750
```

***

(16)
Below is crystalline LaCdInSe3 at its relaxed geometry, with properties calculated at the PBE level.

Output
Space-group type: P2_1/m
Raw total energy (eV for the cell shown): -50.74

```
LaCdInSe3
1.0
8.020 0.000 0.000
0.000 4.386 0.000
-2.423 0.000 10.354
Cd In La Se
2 2 2 6
direct
0.566 0.250 0.113
0.434 0.750 0.887
0.201 0.750 0.205
0.799 0.250 0.795
0.778 0.750 0.378
0.222 0.250 0.622
0.743 0.750 0.070
0.028 0.250 0.350
0.516 0.250 0.351
0.484 0.750 0.649
0.972 0.750 0.650
0.257 0.250 0.930
```

***

(17)
Below is crystalline RbZrGaSe3 at its relaxed geometry, with properties calculated at the PBE level.

Output
Space-group type: Cmcm
Raw total energy (eV for the cell shown): -56.69

```
RbZrGaSe3
1.0
2.112 -7.591 0.000
2.112 7.591 0.000
0.000 0.000 10.849
Ga Rb Se Zr
2 2 6 2
direct
0.465 0.535 0.250
0.535 0.465 0.750
0.747 0.253 0.250
0.253 0.747 0.750
0.381 0.619 0.053
0.055 0.945 0.250
0.381 0.619 0.447
0.619 0.381 0.553
0.945 0.055 0.750
0.619 0.381 0.947
0.000 0.000 0.000
0.000 0.000 0.500
```

***

(18)
Below is crystalline LiAl2Pd at its relaxed geometry, with properties calculated at the PBE level.

Output
Space-group type: I4/mmm
Raw total energy (eV for the cell shown): -68.46

```
LiAl2Pd
1.0
-6.078 -0.155 0.038
0.031 -2.154 -3.737
0.217 -7.473 4.308
Al Li Pd
8 4 4
direct
0.500 0.750 0.125
0.000 0.750 0.125
0.500 0.250 0.375
0.000 0.250 0.375
0.000 0.750 0.625
0.500 0.750 0.625
0.000 0.250 0.875
0.500 0.250 0.875
0.250 0.250 0.125
0.750 0.750 0.375
0.250 0.250 0.625
0.750 0.750 0.875
0.750 0.250 0.125
0.250 0.750 0.375
0.750 0.250 0.625
0.250 0.750 0.875
```

***

(19)
Below is crystalline SnPd3 at its relaxed geometry, with properties calculated at the PBE level.

Output
Space-group type: P-3m1
Raw total energy (eV for the cell shown): -125.72

```
SnPd3
1.0
-0.422 5.338 1.812
0.060 -4.253 3.724
27.515 1.674 1.470
Pd Sn
18 6
direct
0.334 0.167 0.289
0.833 0.167 0.289
0.833 0.666 0.289
0.500 0.001 0.373
0.500 0.500 0.373
0.999 0.500 0.373
0.166 0.332 0.457
0.166 0.834 0.457
0.668 0.834 0.457
0.332 0.166 0.543
0.834 0.166 0.543
0.834 0.668 0.543
0.001 0.500 0.627
0.500 0.500 0.627
0.500 0.999 0.627
0.167 0.334 0.711
0.167 0.833 0.711
0.666 0.833 0.711
0.333 0.667 0.288
0.000 0.000 0.372
0.667 0.333 0.459
0.333 0.667 0.541
0.000 0.000 0.628
0.667 0.333 0.712
```

***

(20)
Below is crystalline DyErHf at its relaxed geometry, with properties calculated at the PBE level.

Output
Energy of formation from the pure elements (eV/atom): 0.86
Space-group type: F-43m

```
DyErHf
1.0
3.247 -3.972 -0.543
-0.632 -4.256 2.846
-1.617 -4.369 -2.216
Dy Er Hf
1 1 1
direct
0.250 0.250 0.250
0.750 0.750 0.750
0.000 0.000 0.000
```

***

(21)
Below is crystalline TlCuTcSe2S at its relaxed geometry, with properties calculated at the PBE level.

Output
Space-group type: Cmcm
Raw total energy (eV for the cell shown): -57.68

```
TlCuTcSe2S
1.0
-0.199 3.970 6.444
-0.510 -0.543 -7.534
-9.300 -1.687 0.751
Cu S Se Tc Tl
2 2 4 2 2
direct
0.030 0.970 0.250
0.970 0.030 0.750
0.439 0.561 0.250
0.561 0.439 0.750
0.122 0.878 0.041
0.122 0.878 0.459
0.878 0.122 0.541
0.878 0.122 0.959
0.500 0.500 0.000
0.500 0.500 0.500
0.756 0.244 0.250
0.244 0.756 0.750
```

***

(22)
Below is crystalline KHo2 at its relaxed geometry, with properties calculated at the PBE level.

Output
Space-group type: Fd-3m
Raw total energy (eV for the cell shown): -4.74

```
KHo2
1.0
-3.839 -9.992 -5.297
-8.118 -6.887 5.412
-11.134 -0.592 -4.277
Ho K
4 2
direct
0.875 0.375 0.375
0.375 0.875 0.375
0.375 0.375 0.375
0.375 0.375 0.875
0.250 0.250 0.250
0.500 0.500 0.500
```

***

(23)
Below is crystalline ZrTlCoCu at its relaxed geometry, with properties calculated at the PBE level.

Output
Space-group type: F-43m
Raw total energy (eV for the cell shown): -21.65

```
ZrTlCoCu
1.0
0.000 3.215 3.215
3.215 0.000 3.215
3.215 3.215 0.000
Co Cu Tl Zr
1 1 1 1
direct
0.750 0.750 0.750
0.250 0.250 0.250
0.000 0.000 0.000
0.500 0.500 0.500
```

***

(24)
Below is crystalline Li4CdIn2Au at its relaxed geometry, with properties calculated at the PBE level.

Output
Space-group type: P-4m2
Raw total energy (eV for the cell shown): -20.32

```
Li4CdIn2Au
1.0
4.643 0.000 0.000
0.000 4.643 0.000
0.000 0.000 6.605
Au Cd In Li
1 1 2 4
direct
0.500 0.500 0.000
0.000 0.000 0.500
0.500 0.000 0.240
0.000 0.500 0.760
0.000 0.000 0.000
0.000 0.500 0.236
0.500 0.500 0.500
0.500 0.000 0.764
```

***

(25)
Below is crystalline LuAgW at its relaxed geometry, with properties calculated at the PBE level.

Output
Energy of formation from the pure elements (eV/atom): 1.46
Space-group type: F-43m

```
LuAgW
1.0
-0.427 -4.493 -1.192
-2.076 -3.000 2.912
-4.200 -1.747 -1.052
Ag Lu W
1 1 1
direct
0.250 0.250 0.250
0.000 0.000 0.000
0.750 0.750 0.750
```